{
  "formula": "InNi17",
  "functional": "PBE",
  "state": "relaxed",
  "relative_energy_ev_per_atom": 0.0198,
  "lattice": [[4.9479, 0.0000, 0.0000], [-2.4740, 4.2850, 0.0000], [0.0000, 0.0000, 26.6781]],
  "species": ["In", "In", "Ni", "Ni", "Ni", "Ni", "Ni", "Ni", "Ni", "Ni", "Ni", "Ni", "Ni", "Ni", "Ni", "Ni", "Ni", "Ni", "Ni", "Ni", "Ni", "Ni", "Ni", "Ni", "Ni", "Ni", "Ni", "Ni", "Ni", "Ni", "Ni", "Ni", "Ni", "Ni", "Ni", "Ni"],
  "frac_coords": [[0.3333, 0.6667, 0.3330], [0.6667, 0.3333, 0.6670], [0.0000, 0.0000, 0.0000], [0.0000, 0.0000, 0.2272], [0.0000, 0.0000, 0.7728], [0.0000, 0.5000, 0.0000], [0.0024, 0.5012, 0.2280], [0.1659, 0.3317, 0.6980], [0.1659, 0.8341, 0.6980], [0.1670, 0.3340, 0.1516], [0.1668, 0.3336, 0.9241], [0.1670, 0.8330, 0.1516], [0.1668, 0.8332, 0.9241], [0.3317, 0.1659, 0.3020], [0.3333, 0.6667, 0.0757], [0.3333, 0.6667, 0.8482], [0.3336, 0.1668, 0.0759], [0.3340, 0.1670, 0.8484], [0.4988, 0.5012, 0.2280], [0.4988, 0.9976, 0.2280], [0.5000, 0.0000, 0.0000], [0.5000, 0.5000, 0.0000], [0.5012, 0.0024, 0.7720], [0.5012, 0.4988, 0.7720], [0.6660, 0.8330, 0.1516], [0.6664, 0.8332, 0.9241], [0.6667, 0.3333, 0.1518], [0.6667, 0.3333, 0.9243], [0.6683, 0.8341, 0.6980], [0.8332, 0.1668, 0.0759], [0.8330, 0.1670, 0.8484], [0.8332, 0.6664, 0.0759], [0.8330, 0.6660, 0.8484], [0.8341, 0.1659, 0.3020], [0.8341, 0.6683, 0.3020], [0.9976, 0.4988, 0.7720]]
}